Entry 1:
Density functional theory data (PBE-GGA) for Ni2BBr after structural relaxation.

The calculation puts the total moment at 0.000 μB/f.u. The calculation puts the formation energy (no corrections) at 91.8 kJ/mol of atoms. For the raw total energy, the calculation gives -4.027 eV/atom. As for the energy above the most stable polymorph in this dataset: 58.52 kJ per mole of atoms.

The structure belongs to space group Fm-3m (No. 225); the cell edges are 5.790, 5.790 and 5.790 Å and the angles 90.00°, 90.00° and 90.00°. The asymmetric unit holds Ni at (0.250, 0.250, 0.250), B at (0.000, 0.000, 0.000) and Br at (0.000, 0.000, 0.500).

=====

Entry 2:
Density functional theory data (PBE-GGA) for ZrCrTc2 after structural relaxation.

The calculation puts the total moment at 0.001 μB/f.u. The calculation puts the formation energy at 31 kJ/mol of formula units. For the raw total energy, the calculation gives -9.646 eV/atom.

The structure belongs to space group C2/m (No. 12); the cell edges are 5.458, 8.695 and 2.808 Å and the angles 90.00°, 111.32° and 90.00°. The asymmetric unit holds Zr at (0.000, 0.000, 0.000), Cr at (0.000, 0.500, 0.000) and Tc at (0.250, 0.250, 0.500).